This record from Alexandria describes an optimized crystal structure of Li2PdI. The functional is PBE.

Structure (extended XYZ):
```
4
Lattice="0.000 3.338 3.338 3.338 0.000 3.338 3.338 3.338 0.000" Properties=species:S:1:pos:R:3 pbc="T T T"
Pd 0.000 0.000 0.000
Li 1.669 1.669 1.669
Li 5.007 5.007 5.007
I 3.338 3.338 3.338
```

Output
* space-group type: Fm-3m, No. 225
* offset from the most stable computed form: 0 meV per atom
* formation energy (no corrections): -0.351 eV/atom
* E_tot: -11.98 eV per formula unit
* density: 5.52 g cm⁻³